# KNa2In3Cl6, optimized geometry, DFT PBE
data_KNa2In3Cl6
_cell_length_a 9.898
_cell_length_b 9.898
_cell_length_c 8.910
_cell_angle_alpha 104.43
_cell_angle_beta 104.43
_cell_angle_gamma 25.18
_symmetry_space_group_name_H-M 'P 1'
_symmetry_Int_Tables_number 1
loop_
_symmetry_equiv_pos_as_xyz
'x,y,z'
loop_
_atom_site_label
_atom_site_fract_x
_atom_site_fract_y
_atom_site_fract_z
_atom_site_occupancy
K1 0.000 0.000 0.000 1
Na1 0.329 0.329 0.662 1
Na2 0.671 0.671 0.338 1
In1 0.000 0.000 0.500 1
In2 0.330 0.330 0.181 1
In3 0.670 0.670 0.819 1
Cl1 0.174 0.174 0.117 1
Cl2 0.177 0.177 0.567 1
Cl3 0.479 0.479 0.740 1
Cl4 0.521 0.521 0.260 1
Cl5 0.823 0.823 0.433 1
Cl6 0.826 0.826 0.883 1
# Mass density (Mg/m³): 2.970
# SG: No. 12
# Raw formation energy (eV per atom): -1.310